NaFeCuTeS2 | PBE-GGA | relaxed

```
data_NaFeCuTeS2
_cell_length_a 3.461
_cell_length_b 14.113
_cell_length_c 9.503
_cell_angle_alpha 90.00
_cell_angle_beta 90.00
_cell_angle_gamma 90.00
_space_group_name_H-M_alt 'C m c m'
_space_group_IT_number 63
_space_group_name_Hall '-C 2c 2'
loop_
_atom_site_label
_atom_site_type_symbol
_atom_site_fract_x
_atom_site_fract_y
_atom_site_fract_z
_atom_site_occupancy
Na1 Na 0.000 0.214 0.250 1
Fe1 Fe 0.000 0.000 0.000 1
Cu1 Cu 0.000 0.457 0.750 1
Te1 Te 0.000 0.093 0.750 1
S1 S 0.000 0.393 0.540 1
```

Values from the calculation:
The calculated total energy is -4.4697 eV per atom.